Density functional theory data (PBE) for an optimized crystal structure of HgGe2Bi2.

Unit cell a=8.5652 b=8.5652 c=3.7961 alpha=90.00 beta=90.00 gamma=90.00
Positions (direct):
Hg  0.0000  0.0000  0.0000
Hg  0.5000  0.5000  0.0000
Ge  0.1282  0.3718  0.5000
Ge  0.3718  0.8718  0.5000
Ge  0.6282  0.1282  0.5000
Ge  0.8718  0.6282  0.5000
Bi  0.1516  0.6516  0.0000
Bi  0.3484  0.1516  0.0000
Bi  0.6516  0.8484  0.0000
Bi  0.8484  0.3484  0.0000

Output
calculated volume = 27.8 Å³/atom
energy = -3.208 eV/atom
energy above the most stable polymorph in this dataset = 73.2 meV/atom
energy of formation = 0.251 eV per atom